# GGA-PBE NdHgSbPb, relaxed
data_NdHgSbPb
_cell_length_a 5.467
_cell_length_b 5.467
_cell_length_c 5.467
_cell_angle_alpha 60.00
_cell_angle_beta 60.00
_cell_angle_gamma 60.00
_symmetry_space_group_name_H-M 'P 1'
_symmetry_Int_Tables_number 1
_symmetry_space_group_name_Hall 'P 1'
loop_
_atom_site_label
_atom_site_type_symbol
_atom_site_fract_x
_atom_site_fract_y
_atom_site_fract_z
Nd1 Nd 0.000 0.000 0.000
Hg1 Hg 0.250 0.250 0.250
Sb1 Sb 0.750 0.750 0.750
Pb1 Pb 0.500 0.500 0.500
# - E_tot: -14.40 eV per cell
# - DOS at the Fermi energy: 3.1 states/eV/f.u.
# - ρ: 9.686 g/cm³
# - Energy relative to the elements, uncorrected: -0.38 eV per atom

# GGA-PBE LiMgIn2Sb, relaxed
data_LiMgIn2Sb
_cell_length_a 5.053
_cell_length_b 5.053
_cell_length_c 5.168
_cell_angle_alpha 90.00
_cell_angle_beta 90.00
_cell_angle_gamma 90.00
_symmetry_space_group_name_H-M 'P 1'
_symmetry_Int_Tables_number 1
_symmetry_space_group_name_Hall 'P 1'
loop_
_atom_site_label
_atom_site_type_symbol
_atom_site_fract_x
_atom_site_fract_y
_atom_site_fract_z
Li1 Li 0.000 0.000 0.000
Mg1 Mg 0.500 0.500 0.500
In1 In 0.000 0.500 0.000
In2 In 0.500 0.000 0.000
Sb1 Sb 0.000 0.000 0.500
# - E_tot: -12.48 eV per cell
# - DOS at the Fermi energy: 2.1 states/eV/f.u.
# - ρ: 4.815 g/cm³
# - Energy relative to the elements, uncorrected: 0.12 eV per atom

# GGA-PBE MnCdW2, relaxed
data_MnCdW2
_cell_length_a 5.304
_cell_length_b 5.304
_cell_length_c 2.701
_cell_angle_alpha 97.72
_cell_angle_beta 97.72
_cell_angle_gamma 118.53
_symmetry_space_group_name_H-M 'P 1'
_symmetry_Int_Tables_number 1
_symmetry_space_group_name_Hall 'P 1'
loop_
_atom_site_label
_atom_site_type_symbol
_atom_site_fract_x
_atom_site_fract_y
_atom_site_fract_z
Mn1 Mn 0.000 0.000 0.000
Cd1 Cd 0.500 0.500 0.000
W1 W 0.000 0.500 0.500
W2 W 0.500 0.000 0.500
# - E_tot: -33.83 eV per cell
# - DOS at the Fermi energy: 3.7 states/eV/f.u.
# - Calculated formation energy: 0.540 eV per atom
# - ρ: 13.794 g/cm³

# GGA-PBE CuRe2Ir, relaxed
data_CuRe2Ir
_cell_length_a 3.774
_cell_length_b 3.774
_cell_length_c 3.996
_cell_angle_alpha 90.00
_cell_angle_beta 90.00
_cell_angle_gamma 90.00
_symmetry_space_group_name_H-M 'P 1'
_symmetry_Int_Tables_number 1
_symmetry_space_group_name_Hall 'P 1'
loop_
_atom_site_label
_atom_site_type_symbol
_atom_site_fract_x
_atom_site_fract_y
_atom_site_fract_z
Cu1 Cu 0.000 0.000 0.000
Re1 Re 0.000 0.500 0.500
Re2 Re 0.500 0.000 0.500
Ir1 Ir 0.500 0.500 0.000
# - E_tot: -36.87 eV per cell
# - DOS at the Fermi energy: 3.4 states/eV/f.u.
# - Calculated formation energy: 0.247 eV per atom
# - Energy above the lowest structure with this stoichiometry: 154 meV/atom
# - ρ: 18.329 g/cm³

# GGA-PBE LaSm8Sc3, relaxed
data_LaSm8Sc3
_cell_length_a 8.614
_cell_length_b 8.614
_cell_length_c 8.614
_cell_angle_alpha 134.94
_cell_angle_beta 100.81
_cell_angle_gamma 96.08
_symmetry_space_group_name_H-M 'P 1'
_symmetry_Int_Tables_number 1
_symmetry_space_group_name_Hall 'P 1'
loop_
_atom_site_label
_atom_site_type_symbol
_atom_site_fract_x
_atom_site_fract_y
_atom_site_fract_z
La1 La 0.000 0.000 0.000
Sm1 Sm 0.087 0.255 0.832
Sm2 Sm 0.287 0.225 0.512
Sm3 Sm 0.287 0.775 0.062
Sm4 Sm 0.423 0.255 0.168
Sm5 Sm 0.577 0.745 0.832
Sm6 Sm 0.713 0.225 0.938
Sm7 Sm 0.713 0.775 0.488
Sm8 Sm 0.913 0.745 0.168
Sc1 Sc 0.293 0.793 0.500
Sc2 Sc 0.500 0.500 0.000
Sc3 Sc 0.707 0.207 0.500
# - E_tot: -56.94 eV per cell
# - DOS at the Fermi energy: 19.9 states/eV/f.u.
# - Calculated formation energy: 0.395 eV per atom
# - ρ: 5.875 g/cm³

# GGA-PBE SrLa2CoN, relaxed
data_SrLa2CoN
_cell_length_a 6.076
_cell_length_b 6.076
_cell_length_c 3.577
_cell_angle_alpha 90.00
_cell_angle_beta 90.00
_cell_angle_gamma 90.00
_symmetry_space_group_name_H-M 'P 1'
_symmetry_Int_Tables_number 1
_symmetry_space_group_name_Hall 'P 1'
loop_
_atom_site_label
_atom_site_type_symbol
_atom_site_fract_x
_atom_site_fract_y
_atom_site_fract_z
Sr1 Sr 0.000 0.000 0.000
La1 La 0.000 0.500 0.500
La2 La 0.500 0.000 0.500
Co1 Co 0.500 0.500 0.500
N1 N 0.500 0.500 0.000
# - E_tot: -25.30 eV per cell
# - DOS at the Fermi energy: 5.5 states/eV/f.u.
# - ρ: 5.513 g/cm³
# - Energy relative to the elements, uncorrected: 0.33 eV per atom

# GGA-PBE MnAg2Mo, relaxed
data_MnAg2Mo
_cell_length_a 9.248
_cell_length_b 9.248
_cell_length_c 9.248
_cell_angle_alpha 17.94
_cell_angle_beta 17.94
_cell_angle_gamma 17.94
_symmetry_space_group_name_H-M 'P 1'
_symmetry_Int_Tables_number 1
_symmetry_space_group_name_Hall 'P 1'
loop_
_atom_site_label
_atom_site_type_symbol
_atom_site_fract_x
_atom_site_fract_y
_atom_site_fract_z
Mn1 Mn 0.000 0.000 0.000
Ag1 Ag 0.507 0.507 0.507
Ag2 Ag 0.751 0.751 0.751
Mo1 Mo 0.265 0.265 0.265
# - E_tot: -24.26 eV per cell
# - DOS at the Fermi energy: 3.2 states/eV/f.u.
# - Calculated formation energy: 0.361 eV per atom
# - Energy above the lowest structure with this stoichiometry: 64 meV/atom
# - ρ: 9.289 g/cm³

# GGA-PBE Nd7SmTm12, relaxed
data_Nd7SmTm12
_cell_length_a 9.715
_cell_length_b 9.715
_cell_length_c 9.715
_cell_angle_alpha 109.47
_cell_angle_beta 109.47
_cell_angle_gamma 109.47
_symmetry_space_group_name_H-M 'P 1'
_symmetry_Int_Tables_number 1
_symmetry_space_group_name_Hall 'P 1'
loop_
_atom_site_label
_atom_site_type_symbol
_atom_site_fract_x
_atom_site_fract_y
_atom_site_fract_z
Nd1 Nd 0.000 0.000 0.500
Nd2 Nd 0.000 0.500 0.000
Nd3 Nd 0.000 0.500 0.500
Nd4 Nd 0.500 0.000 0.000
Nd5 Nd 0.500 0.000 0.500
Nd6 Nd 0.500 0.500 0.000
Nd7 Nd 0.500 0.500 0.500
Sm1 Sm 0.000 0.000 0.000
Tm1 Tm 0.000 0.249 0.751
Tm2 Tm 0.000 0.751 0.249
Tm3 Tm 0.249 0.000 0.751
Tm4 Tm 0.249 0.249 0.498
Tm5 Tm 0.249 0.498 0.249
Tm6 Tm 0.249 0.751 0.000
Tm7 Tm 0.498 0.249 0.249
Tm8 Tm 0.502 0.751 0.751
Tm9 Tm 0.751 0.000 0.249
Tm10 Tm 0.751 0.249 0.000
Tm11 Tm 0.751 0.502 0.751
Tm12 Tm 0.751 0.751 0.502
# - E_tot: -78.68 eV per cell
# - DOS at the Fermi energy: 29.4 states/eV/f.u.
# - Calculated formation energy: 0.653 eV per atom
# - Energy above the lowest structure with this stoichiometry: 423 meV/atom
# - ρ: 7.498 g/cm³

# GGA-PBE CaGaFe, relaxed
data_CaGaFe
_cell_length_a 3.954
_cell_length_b 3.954
_cell_length_c 7.728
_cell_angle_alpha 90.00
_cell_angle_beta 90.00
_cell_angle_gamma 90.00
_symmetry_space_group_name_H-M 'P 1'
_symmetry_Int_Tables_number 1
_symmetry_space_group_name_Hall 'P 1'
loop_
_atom_site_label
_atom_site_type_symbol
_atom_site_fract_x
_atom_site_fract_y
_atom_site_fract_z
Ca1 Ca 0.250 0.250 0.170
Ca2 Ca 0.750 0.750 0.830
Ga1 Ga 0.250 0.250 0.696
Ga2 Ga 0.750 0.750 0.304
Fe1 Fe 0.250 0.750 0.500
Fe2 Fe 0.750 0.250 0.500
# - E_tot: -27.98 eV per cell
# - DOS at the Fermi energy: 2.0 states/eV/f.u.
# - Calculated formation energy: -0.166 eV per atom
# - ρ: 4.552 g/cm³

# GGA-PBE La2BeBi, relaxed
data_La2BeBi
_cell_length_a 6.875
_cell_length_b 6.875
_cell_length_c 6.875
_cell_angle_alpha 106.72
_cell_angle_beta 106.72
_cell_angle_gamma 115.13
_symmetry_space_group_name_H-M 'P 1'
_symmetry_Int_Tables_number 1
_symmetry_space_group_name_Hall 'P 1'
loop_
_atom_site_label
_atom_site_type_symbol
_atom_site_fract_x
_atom_site_fract_y
_atom_site_fract_z
La1 La 0.085 0.125 0.460
La2 La 0.375 0.915 0.040
La3 La 0.665 0.625 0.540
La4 La 0.875 0.335 0.960
Be1 Be 0.000 0.000 0.000
Be2 Be 0.750 0.250 0.500
Bi1 Bi 0.250 0.750 0.500
Bi2 Bi 0.500 0.500 0.000
# - E_tot: -35.29 eV per cell
# - DOS at the Fermi energy: 3.4 states/eV/f.u.
# - Calculated formation energy: -0.046 eV per atom
# - Energy above the lowest structure with this stoichiometry: 133 meV/atom
# - ρ: 6.631 g/cm³

# GGA-PBE CaFeNi, relaxed
data_CaFeNi
_cell_length_a 4.373
_cell_length_b 4.373
_cell_length_c 4.373
_cell_angle_alpha 60.00
_cell_angle_beta 60.00
_cell_angle_gamma 60.00
_symmetry_space_group_name_H-M 'P 1'
_symmetry_Int_Tables_number 1
_symmetry_space_group_name_Hall 'P 1'
loop_
_atom_site_label
_atom_site_type_symbol
_atom_site_fract_x
_atom_site_fract_y
_atom_site_fract_z
Ca1 Ca 0.000 0.000 0.000
Fe1 Fe 0.500 0.500 0.500
Ni1 Ni 0.250 0.250 0.250
# - E_tot: -14.76 eV per cell
# - DOS at the Fermi energy: 3.4 states/eV/f.u.
# - Calculated formation energy: 0.495 eV per atom
# - Energy above the lowest structure with this stoichiometry: 330 meV/atom
# - ρ: 4.343 g/cm³

# GGA-PBE Tl2SnPd, relaxed
data_Tl2SnPd
_cell_length_a 11.492
_cell_length_b 11.492
_cell_length_c 11.492
_cell_angle_alpha 158.59
_cell_angle_beta 158.59
_cell_angle_gamma 30.46
_symmetry_space_group_name_H-M 'P 1'
_symmetry_Int_Tables_number 1
_symmetry_space_group_name_Hall 'P 1'
loop_
_atom_site_label
_atom_site_type_symbol
_atom_site_fract_x
_atom_site_fract_y
_atom_site_fract_z
Tl1 Tl 0.116 0.625 0.991
Tl2 Tl 0.375 0.366 0.491
Tl3 Tl 0.634 0.125 0.009
Tl4 Tl 0.875 0.884 0.509
Sn1 Sn 0.250 0.750 0.500
Sn2 Sn 0.500 0.500 0.000
Pd1 Pd 0.000 0.000 0.000
Pd2 Pd 0.750 0.250 0.500
# - E_tot: -27.12 eV per cell
# - DOS at the Fermi energy: 2.1 states/eV/f.u.
# - Calculated formation energy: 0.092 eV per atom
# - Energy above the lowest structure with this stoichiometry: 0 meV/atom
# - ρ: 10.418 g/cm³

# GGA-PBE CaLa2MgH, relaxed
data_CaLa2MgH
_cell_length_a 5.286
_cell_length_b 5.286
_cell_length_c 4.807
_cell_angle_alpha 90.00
_cell_angle_beta 90.00
_cell_angle_gamma 90.00
_symmetry_space_group_name_H-M 'P 1'
_symmetry_Int_Tables_number 1
_symmetry_space_group_name_Hall 'P 1'
loop_
_atom_site_label
_atom_site_type_symbol
_atom_site_fract_x
_atom_site_fract_y
_atom_site_fract_z
Ca1 Ca 0.000 0.000 0.000
La1 La 0.000 0.500 0.500
La2 La 0.500 0.000 0.500
Mg1 Mg 0.500 0.500 0.000
H1 H 0.500 0.500 0.500
# - E_tot: -17.43 eV per cell
# - DOS at the Fermi energy: 4.2 states/eV/f.u.
# - Energy above the lowest structure with this stoichiometry: 25 meV/atom
# - ρ: 4.243 g/cm³

# GGA-PBE Co3Sn2As2, relaxed
data_Co3Sn2As2
_cell_length_a 5.559
_cell_length_b 5.559
_cell_length_c 5.559
_cell_angle_alpha 57.36
_cell_angle_beta 57.36
_cell_angle_gamma 57.36
_symmetry_space_group_name_H-M 'P 1'
_symmetry_Int_Tables_number 1
_symmetry_space_group_name_Hall 'P 1'
loop_
_atom_site_label
_atom_site_type_symbol
_atom_site_fract_x
_atom_site_fract_y
_atom_site_fract_z
Co1 Co 0.000 0.500 0.500
Co2 Co 0.500 0.000 0.500
Co3 Co 0.500 0.500 0.000
Sn1 Sn 0.000 0.000 0.000
Sn2 Sn 0.500 0.500 0.500
As1 As 0.210 0.210 0.210
As2 As 0.790 0.790 0.790
# - E_tot: -39.36 eV per cell
# - DOS at the Fermi energy: 4.6 states/eV/f.u.
# - Calculated formation energy: -0.105 eV per atom
# - ρ: 8.209 g/cm³

# GGA-PBE Nd2DyScO6, relaxed
data_Nd2DyScO6
_cell_length_a 5.714
_cell_length_b 5.965
_cell_length_c 10.062
_cell_angle_alpha 90.00
_cell_angle_beta 124.17
_cell_angle_gamma 90.00
_symmetry_space_group_name_H-M 'P 1'
_symmetry_Int_Tables_number 1
_symmetry_space_group_name_Hall 'P 1'
loop_
_atom_site_label
_atom_site_type_symbol
_atom_site_fract_x
_atom_site_fract_y
_atom_site_fract_z
Nd1 Nd 0.231 0.056 0.251
Nd2 Nd 0.231 0.444 0.751
Nd3 Nd 0.769 0.556 0.249
Nd4 Nd 0.769 0.944 0.749
Dy1 Dy 0.500 0.000 0.000
Dy2 Dy 0.500 0.500 0.500
Sc1 Sc 0.000 0.000 0.500
Sc2 Sc 0.000 0.500 0.000
O1 O 0.117 0.204 0.930
O2 O 0.117 0.296 0.430
O3 O 0.231 0.690 0.934
O4 O 0.231 0.810 0.434
O5 O 0.369 0.056 0.742
O6 O 0.369 0.444 0.242
O7 O 0.631 0.556 0.758
O8 O 0.631 0.944 0.258
O9 O 0.769 0.190 0.566
O10 O 0.769 0.310 0.066
O11 O 0.883 0.704 0.570
O12 O 0.883 0.796 0.070
# - E_tot: -169.21 eV per cell
# - DOS at the Fermi energy: 0.0 states/eV/f.u.
# - ρ: 6.928 g/cm³
# - Energy relative to the elements, uncorrected: -3.44 eV per atom

# GGA-PBE CdTe3Br, relaxed
data_CdTe3Br
_cell_length_a 5.613
_cell_length_b 5.613
_cell_length_c 5.613
_cell_angle_alpha 90.00
_cell_angle_beta 90.00
_cell_angle_gamma 90.00
_symmetry_space_group_name_H-M 'P 1'
_symmetry_Int_Tables_number 1
_symmetry_space_group_name_Hall 'P 1'
loop_
_atom_site_label
_atom_site_type_symbol
_atom_site_fract_x
_atom_site_fract_y
_atom_site_fract_z
Cd1 Cd 0.000 0.000 0.000
Te1 Te 0.000 0.500 0.500
Te2 Te 0.500 0.000 0.500
Te3 Te 0.500 0.500 0.000
Br1 Br 0.500 0.500 0.500
# - E_tot: -8.54 eV per cell
# - DOS at the Fermi energy: 4.7 states/eV/f.u.
# - Energy above the lowest structure with this stoichiometry: 175 meV/atom
# - ρ: 5.400 g/cm³
# - Energy relative to the elements, uncorrected: 0.69 eV per atom

# GGA-PBE CaHo2Zn2Ga2, relaxed
data_CaHo2Zn2Ga2
_cell_length_a 9.574
_cell_length_b 9.574
_cell_length_c 9.574
_cell_angle_alpha 27.12
_cell_angle_beta 27.12
_cell_angle_gamma 27.12
_symmetry_space_group_name_H-M 'P 1'
_symmetry_Int_Tables_number 1
_symmetry_space_group_name_Hall 'P 1'
loop_
_atom_site_label
_atom_site_type_symbol
_atom_site_fract_x
_atom_site_fract_y
_atom_site_fract_z
Ca1 Ca 0.000 0.000 0.000
Ho1 Ho 0.128 0.128 0.128
Ho2 Ho 0.872 0.872 0.872
Zn1 Zn 0.407 0.407 0.407
Zn2 Zn 0.593 0.593 0.593
Ga1 Ga 0.255 0.255 0.255
Ga2 Ga 0.745 0.745 0.745
# - E_tot: -22.42 eV per cell
# - DOS at the Fermi energy: 2.8 states/eV/f.u.
# - Calculated formation energy: -0.380 eV per atom
# - ρ: 6.607 g/cm³

# GGA-PBE LaNi2Ir, relaxed
data_LaNi2Ir
_cell_length_a 3.292
_cell_length_b 3.292
_cell_length_c 6.202
_cell_angle_alpha 90.00
_cell_angle_beta 90.00
_cell_angle_gamma 90.00
_symmetry_space_group_name_H-M 'P 1'
_symmetry_Int_Tables_number 1
_symmetry_space_group_name_Hall 'P 1'
loop_
_atom_site_label
_atom_site_type_symbol
_atom_site_fract_x
_atom_site_fract_y
_atom_site_fract_z
La1 La 0.000 0.000 0.000
Ni1 Ni 0.500 0.500 0.311
Ni2 Ni 0.500 0.500 0.689
Ir1 Ir 0.000 0.000 0.500
# - E_tot: -25.24 eV per cell
# - DOS at the Fermi energy: 4.8 states/eV/f.u.
# - Calculated formation energy: 0.027 eV per atom
# - ρ: 11.080 g/cm³

# GGA-PBE RbHgGe3, relaxed
data_RbHgGe3
_cell_length_a 5.880
_cell_length_b 5.880
_cell_length_c 5.880
_cell_angle_alpha 90.00
_cell_angle_beta 90.00
_cell_angle_gamma 90.00
_symmetry_space_group_name_H-M 'P 1'
_symmetry_Int_Tables_number 1
_symmetry_space_group_name_Hall 'P 1'
loop_
_atom_site_label
_atom_site_type_symbol
_atom_site_fract_x
_atom_site_fract_y
_atom_site_fract_z
Rb1 Rb 0.000 0.000 0.000
Hg1 Hg 0.500 0.500 0.500
Ge1 Ge 0.000 0.000 0.500
Ge2 Ge 0.000 0.500 0.000
Ge3 Ge 0.500 0.000 0.000
# - E_tot: -7.08 eV per cell
# - DOS at the Fermi energy: 5.6 states/eV/f.u.
# - Calculated formation energy: 1.608 eV per atom
# - Energy above the lowest structure with this stoichiometry: 1027 meV/atom
# - ρ: 4.117 g/cm³

# GGA-PBE La2Tm13, relaxed
data_La2Tm13
_cell_length_a 8.841
_cell_length_b 8.841
_cell_length_c 8.841
_cell_angle_alpha 59.21
_cell_angle_beta 59.21
_cell_angle_gamma 59.21
_symmetry_space_group_name_H-M 'P 1'
_symmetry_Int_Tables_number 1
_symmetry_space_group_name_Hall 'P 1'
loop_
_atom_site_label
_atom_site_type_symbol
_atom_site_fract_x
_atom_site_fract_y
_atom_site_fract_z
La1 La 0.157 0.157 0.157
La2 La 0.843 0.843 0.843
Tm1 Tm 0.000 0.000 0.000
Tm2 Tm 0.160 0.160 0.538
Tm3 Tm 0.160 0.538 0.160
Tm4 Tm 0.309 0.690 0.690
Tm5 Tm 0.310 0.310 0.691
Tm6 Tm 0.310 0.691 0.310
Tm7 Tm 0.462 0.840 0.840
Tm8 Tm 0.538 0.160 0.160
Tm9 Tm 0.690 0.309 0.690
Tm10 Tm 0.690 0.690 0.309
Tm11 Tm 0.691 0.310 0.310
Tm12 Tm 0.840 0.462 0.840
Tm13 Tm 0.840 0.840 0.462
# - E_tot: -64.47 eV per cell
# - DOS at the Fermi energy: 17.3 states/eV/f.u.
# - Calculated formation energy: 0.234 eV per atom
# - ρ: 8.560 g/cm³

| no. | calculated volume (A^3/atom) |
| --- | --- |
| 1 | 28.878 |
| 2 | 26.390 |
| 3 | 16.101 |
| 4 | 14.227 |
| 5 | 34.779 |
| 6 | 26.407 |
| 7 | 16.385 |
| 8 | 35.291 |
| 9 | 20.140 |
| 10 | 31.039 |
| 11 | 19.708 |
| 12 | 25.259 |
| 13 | 26.861 |
| 14 | 16.300 |
| 15 | 14.189 |
| 16 | 35.369 |
| 17 | 22.985 |
| 18 | 16.804 |
| 19 | 40.655 |
| 20 | 31.994 |